(1)
First-principles (PBE) data for NaLa2V after structural relaxation, as listed in the Alexandria database.

As for the formation energy: 0.442 eV per atom. The mass density comes out at 4.93 g/cm³. For the energy above the lowest structure with this stoichiometry, the calculation gives 0.000 eV per atom. The total energy comes out at -4.632 eV/atom.

The space group is Fm-3m (No. 225) and the conventional cell measures 7.794, 7.794 and 7.794 Å, with angles of 90.00, 90.00 and 90.00 degrees. The asymmetric unit holds Na at (0.000, 0.000, 0.000), La at (0.250, 0.250, 0.250) and V at (0.000, 0.000, 0.500).

***

(2)
First-principles (PBE) data for TbPm3Pu2Te6 after structural relaxation, as listed in the Alexandria database.

For the raw formation energy, the calculation gives -1.305 eV per atom. The mass density comes out at 8.27 g/cm³. The total energy comes out at -6.838 eV/atom.

The space group is C2/m (No. 12) and the conventional cell measures 19.376, 4.419 and 8.912 Å, with angles of 90.00, 103.67 and 90.00 degrees. The asymmetric unit holds Tb at (0.000, 0.000, 0.000), Pm at (0.000, 0.000, 0.500), Pm at (0.167, 0.500, 0.834), Pu at (0.166, 0.500, 0.333), Te at (0.000, 0.500, 0.245), Te at (0.165, 0.000, 0.085) and Te at (0.168, 0.000, 0.581).